DFT (PBE) results for a geometry-optimized Co22B6Sb structure.

abc: 7.431 7.431 7.431
angles: 60.00 60.00 60.00
Positions (direct):
Co: 0.000 0.000 0.345
Co: 0.000 0.000 0.655
Co: 0.000 0.345 0.000
Co: 0.000 0.345 0.655
Co: 0.000 0.655 0.000
Co: 0.000 0.655 0.345
Co: 0.142 0.619 0.619
Co: 0.250 0.250 0.250
Co: 0.345 0.000 0.000
Co: 0.345 0.000 0.655
Co: 0.345 0.655 0.000
Co: 0.381 0.381 0.381
Co: 0.381 0.381 0.858
Co: 0.381 0.858 0.381
Co: 0.619 0.142 0.619
Co: 0.619 0.619 0.142
Co: 0.619 0.619 0.619
Co: 0.655 0.000 0.000
Co: 0.655 0.000 0.345
Co: 0.655 0.345 0.000
Co: 0.750 0.750 0.750
Co: 0.858 0.381 0.381
B: 0.280 0.280 0.720
B: 0.280 0.720 0.280
B: 0.280 0.720 0.720
B: 0.720 0.280 0.280
B: 0.720 0.280 0.720
B: 0.720 0.720 0.280
Sb: 0.000 0.000 0.000

Results
The value obtained for the density is 8.5 g/cm³. Its space group is Fm-3m, No. 225. Its uncorrected formation energy is -2.8 eV per formula unit.